# 1
Here is a geometry-optimized AgRhBr structure from the Alexandria database. Energies are from PBE.

Results
V: 254.6 Å³/cell
Raw formation energy: 0.541 eV/atom
E above lowest polymorph: 0.57 eV/f.u.

Cell and atoms, written as CIF:
```
data_AgRhBr
_chemical_formula_sum 'Ag4 Rh4 Br4'
_cell_length_a 6.3378
_cell_length_b 6.3378
_cell_length_c 6.3378
_cell_angle_alpha 90.00
_cell_angle_beta 90.00
_cell_angle_gamma 90.00
_symmetry_space_group_name_H-M 'F -4 3 m'
_symmetry_Int_Tables_number 216
_symmetry_space_group_name_Hall 'F -4 2 3'
loop_
_atom_site_label
_atom_site_type_symbol
_atom_site_fract_x
_atom_site_fract_y
_atom_site_fract_z
Ag1 Ag 0.0000 0.0000 0.0000
Rh1 Rh 0.2500 0.2500 0.7500
Br1 Br 0.0000 0.0000 0.5000
```

# 2
Here is a geometry-optimized CeHfMgZr structure from the Alexandria database. Energies are from PBE.

Results
V: 378.2 Å³/cell
DFT formation energy: 0.1129 eV per atom

Cell and atoms, written as CIF:
```
data_CeHfMgZr
_chemical_formula_sum 'Ce4 Hf4 Mg4 Zr4'
_cell_length_a 7.2316
_cell_length_b 7.2316
_cell_length_c 7.2316
_cell_angle_alpha 90.00
_cell_angle_beta 90.00
_cell_angle_gamma 90.00
_symmetry_space_group_name_H-M 'F -4 3 m'
_symmetry_Int_Tables_number 216
_symmetry_space_group_name_Hall 'F -4 2 3'
loop_
_atom_site_label
_atom_site_type_symbol
_atom_site_fract_x
_atom_site_fract_y
_atom_site_fract_z
Ce1 Ce 0.0000 0.0000 0.0000
Hf1 Hf 0.2500 0.2500 0.2500
Mg1 Mg 0.2500 0.2500 0.7500
Zr1 Zr 0.0000 0.0000 0.5000
```

# 3
Here is a geometry-optimized YTh2Ge2 structure from the Alexandria database. Energies are from PBE.

Results
V: 262.9 Å³/cell
DFT formation energy: -0.7313 eV per atom

Cell and atoms, written as CIF:
```
data_YTh2Ge2
_chemical_formula_sum 'Y2 Th4 Ge4'
_cell_length_a 7.8591
_cell_length_b 7.8591
_cell_length_c 4.2563
_cell_angle_alpha 90.00
_cell_angle_beta 90.00
_cell_angle_gamma 90.00
_symmetry_space_group_name_H-M 'P 4/m b m'
_symmetry_Int_Tables_number 127
_symmetry_space_group_name_Hall '-P 4 2ab'
loop_
_atom_site_label
_atom_site_type_symbol
_atom_site_fract_x
_atom_site_fract_y
_atom_site_fract_z
Y1 Y 0.0000 0.0000 0.0000
Th1 Th 0.1683 0.3317 0.5000
Ge1 Ge 0.1342 0.6342 0.0000
```

# 4
Here is a geometry-optimized TcAgN2 structure from the Alexandria database. Energies are from PBE.

Results
V: 145.7 Å³/cell
Raw formation energy: 0.415 eV/atom
E above lowest polymorph: 0.00 eV/f.u.

Cell and atoms, written as CIF:
```
data_TcAgN2
_chemical_formula_sum 'Tc3 Ag3 N6'
_cell_length_a 2.8881
_cell_length_b 2.8881
_cell_length_c 20.1688
_cell_angle_alpha 90.00
_cell_angle_beta 90.00
_cell_angle_gamma 120.00
_symmetry_space_group_name_H-M 'R -3 m'
_symmetry_Int_Tables_number 166
_symmetry_space_group_name_Hall '-R 3 2"'
loop_
_atom_site_label
_atom_site_type_symbol
_atom_site_fract_x
_atom_site_fract_y
_atom_site_fract_z
Tc1 Tc 0.0000 0.0000 0.0000
Ag1 Ag 0.0000 0.0000 0.5000
N1 N 0.0000 0.0000 0.3944
```

# 5
Here is a geometry-optimized La2Zn2Si structure from the Alexandria database. Energies are from PBE.

Results
V: 235.0 Å³/cell
Raw formation energy: -0.347 eV/atom
E above lowest polymorph: 0.67 eV/f.u.

Cell and atoms, written as CIF:
```
data_La2Zn2Si
_chemical_formula_sum 'La4 Zn4 Si2'
_cell_length_a 7.0134
_cell_length_b 7.0134
_cell_length_c 4.7786
_cell_angle_alpha 90.00
_cell_angle_beta 90.00
_cell_angle_gamma 90.00
_symmetry_space_group_name_H-M 'P 4/m b m'
_symmetry_Int_Tables_number 127
_symmetry_space_group_name_Hall '-P 4 2ab'
loop_
_atom_site_label
_atom_site_type_symbol
_atom_site_fract_x
_atom_site_fract_y
_atom_site_fract_z
La1 La 0.1773 0.3227 0.0000
Zn1 Zn 0.1280 0.6280 0.5000
Si1 Si 0.0000 0.0000 0.5000
```

# 6
Here is a geometry-optimized LaNiTe2 structure from the Alexandria database. Energies are from PBE.

Results
V: 200.5 Å³/cell
Raw formation energy: -0.585 eV/atom

Cell and atoms, written as CIF:
```
data_LaNiTe2
_chemical_formula_sum 'La2 Ni2 Te4'
_cell_length_a 7.0977
_cell_length_b 7.0810
_cell_length_c 3.9900
_cell_angle_alpha 90.00
_cell_angle_beta 90.11
_cell_angle_gamma 90.00
_symmetry_space_group_name_H-M 'C 1 2/m 1'
_symmetry_Int_Tables_number 12
_symmetry_space_group_name_Hall '-C 2y'
loop_
_atom_site_label
_atom_site_type_symbol
_atom_site_fract_x
_atom_site_fract_y
_atom_site_fract_z
La1 La 0.0000 0.0000 0.0000
Ni1 Ni 0.0000 0.5000 0.0000
Te1 Te 0.2500 0.2500 0.5000
```

The records above give, respectively, magnetic moment values of 3.990, 0.000, 0.000, 0.000, 0.000, 0.000 μB/cell.